U3Ag5Te12 (PBE, optimized geometry); raw formation energy = -4.20 eV per formula unit; space group = No. 230
1.0
-5.432 13.813 0.659
-10.587 -9.262 -4.780
4.517 -4.196 13.517
U Ag Te
12 20 48
Direct
0.750 0.375 0.125
0.875 0.750 0.125
0.375 0.750 0.625
0.250 0.125 0.375
0.875 0.125 0.250
0.375 0.625 0.250
0.625 0.375 0.750
0.125 0.875 0.750
0.750 0.875 0.625
0.625 0.250 0.375
0.125 0.250 0.875
0.250 0.625 0.875
0.125 0.375 0.250
0.000 0.500 0.000
0.000 0.000 0.000
0.375 0.250 0.125
0.500 0.000 0.500
0.500 0.500 0.000
0.125 0.750 0.375
0.750 0.125 0.875
0.750 0.625 0.375
0.375 0.125 0.750
0.625 0.875 0.250
0.500 0.500 0.500
0.500 0.000 0.000
0.000 0.000 0.500
0.250 0.375 0.625
0.250 0.875 0.125
0.000 0.500 0.500
0.875 0.250 0.625
0.625 0.750 0.875
0.875 0.625 0.750
0.723 0.135 0.051
0.328 0.551 0.417
0.949 0.365 0.277
0.551 0.223 0.135
0.588 0.723 0.672
0.949 0.583 0.172
0.328 0.777 0.412
0.083 0.912 0.135
0.583 0.949 0.672
0.723 0.588 0.172
0.777 0.449 0.365
0.828 0.917 0.051
0.135 0.723 0.551
0.365 0.417 0.088
0.088 0.917 0.365
0.412 0.135 0.583
0.088 0.172 0.223
0.449 0.672 0.083
0.828 0.912 0.277
0.135 0.412 0.083
0.365 0.949 0.777
0.583 0.635 0.412
0.917 0.828 0.551
0.777 0.328 0.912
0.417 0.365 0.588
0.083 0.172 0.449
0.223 0.672 0.088
0.172 0.088 0.723
0.635 0.051 0.223
0.865 0.588 0.917
0.551 0.328 0.917
0.588 0.865 0.417
0.912 0.828 0.777
0.912 0.083 0.635
0.865 0.277 0.449
0.172 0.083 0.949
0.635 0.583 0.912
0.417 0.051 0.328
0.277 0.412 0.828
0.223 0.551 0.635
0.917 0.088 0.865
0.672 0.223 0.588
0.449 0.777 0.865
0.051 0.417 0.828
0.412 0.277 0.328
0.051 0.635 0.723
0.672 0.449 0.583
0.277 0.865 0.949

***

HfMnTl2Cr (PBE, optimized geometry); formation enthalpy at 0 K = 1.344 eV/atom; space group = No. 123
1.0
-1.162 -4.849 -2.575
4.593 -0.601 -0.941
0.638 -2.734 4.860
Cr Tl Mn Hf
1 2 1 1
Direct
0.000 0.500 0.000
0.000 0.000 0.500
0.500 0.000 0.000
0.500 0.500 0.500
0.000 0.000 0.000

***

AgMo2Cl (PBE, optimized geometry); raw formation energy = 3.72 eV per formula unit; space group = No. 122
1.0
-0.752 -3.723 0.019
2.593 -0.510 2.728
-6.149 -0.652 8.368
Mo Ag Cl
4 2 2
Direct
0.589 0.125 0.250
0.161 0.625 0.250
0.375 0.411 0.750
0.875 0.839 0.750
0.000 0.000 0.000
0.750 0.250 0.500
0.500 0.500 0.000
0.250 0.750 0.500

***

What did the third record say?
AgMo2Cl (PBE, optimized geometry); raw formation energy = 3.72 eV per formula unit; space group = No. 122
1.0
-0.752 -3.723 0.019
2.593 -0.510 2.728
-6.149 -0.652 8.368
Mo Ag Cl
4 2 2
Direct
0.589 0.125 0.250
0.161 0.625 0.250
0.375 0.411 0.750
0.875 0.839 0.750
0.000 0.000 0.000
0.750 0.250 0.500
0.500 0.500 0.000
0.250 0.750 0.500